Version one
Entry from Alexandria: an optimized crystal structure of ZrCrCl (PBE).

a b c (Å): 3.122 3.122 12.984
angles (deg): 90.00 90.00 90.00
Space group I4mm (No. 107)
Asymmetric unit:
Zr 0.000 0.000 0.000 (multiplicity 2)
Cr 0.000 0.000 0.358 (multiplicity 2)
Cl 0.000 0.000 0.638 (multiplicity 2)

Version two
Entry from Alexandria: an optimized crystal structure of ZrCrCl (PBE).

a b c (Å): 3.2618 3.2618 6.8405
angles (deg): 90.00 90.00 120.00
Space group P3m1 (No. 156)
Asymmetric unit:
Zr 0.0000 0.0000 0.0000 (multiplicity 1)
Cr 0.3333 0.6667 0.6900 (multiplicity 1)
Cl 0.6667 0.3333 0.2737 (multiplicity 1)

Version three
Entry from Alexandria: an optimized crystal structure of ZrCrCl (PBE).

a b c (Å): 6.089 6.089 6.089
angles (deg): 90.00 90.00 90.00
Space group F-43m (No. 216)
Asymmetric unit:
Zr 0.000 0.000 0.000 (multiplicity 4)
Cr 0.000 0.000 0.500 (multiplicity 4)
Cl 0.250 0.250 0.250 (multiplicity 4)

Stability, descending: version two, version one, version three

Version one
Entry from Alexandria: an optimized crystal structure of CsCu3Cl (PBE).

a b c (Å): 5.604 5.604 5.604
angles (deg): 90.00 90.00 90.00
Space group Pm-3m (No. 221)
Asymmetric unit:
Cs 0.000 0.000 0.000 (multiplicity 1)
Cu 0.000 0.000 0.500 (multiplicity 3)
Cl 0.500 0.500 0.500 (multiplicity 1)

Version two
Entry from Alexandria: an optimized crystal structure of CsCu3Cl (PBE).

a b c (Å): 5.034 5.034 5.034
angles (deg): 90.00 90.00 90.00
Space group Pm-3m (No. 221)
Asymmetric unit:
Cs 0.000 0.000 0.000 (multiplicity 1)
Cu 0.000 0.500 0.500 (multiplicity 3)
Cl 0.500 0.500 0.500 (multiplicity 1)

Stability, descending: version two, version one

Version one
Entry from Alexandria: an optimized crystal structure of CsCu2Cl4 (PBE).

a b c (Å): 8.768 8.768 5.706
angles (deg): 90.00 90.00 90.00
Space group I4/mmm (No. 139)
Asymmetric unit:
Cs 0.000 0.000 0.000 (multiplicity 2)
Cu 0.000 0.500 0.250 (multiplicity 4)
Cl 0.000 0.294 0.500 (multiplicity 8)

Version two
Entry from Alexandria: an optimized crystal structure of CsCu2Cl4 (PBE).

a b c (Å): 8.401 8.401 5.789
angles (deg): 90.00 90.00 90.00
Space group I4/m (No. 87)
Asymmetric unit:
Cs 0.000 0.000 0.000 (multiplicity 2)
Cu 0.000 0.500 0.250 (multiplicity 4)
Cl 0.108 0.685 0.500 (multiplicity 8)

Stability, descending: version two, version one

Version one
Entry from Alexandria: an optimized crystal structure of Cs2CuCl5 (PBE).

a b c (Å): 7.257 7.257 5.177
angles (deg): 90.00 90.00 90.00
Space group P4/mmm (No. 123)
Asymmetric unit:
Cs 0.000 0.500 0.000 (multiplicity 2)
Cu 0.000 0.000 0.500 (multiplicity 1)
Cl 0.000 0.000 0.000 (multiplicity 1)
Cl 0.224 0.224 0.500 (multiplicity 4)

Version two
Entry from Alexandria: an optimized crystal structure of Cs2CuCl5 (PBE).

a b c (Å): 7.353 7.353 10.074
angles (deg): 90.00 90.00 90.00
Space group I4mm (No. 107)
Asymmetric unit:
Cs 0.000 0.500 0.000 (multiplicity 4)
Cu 0.000 0.000 0.226 (multiplicity 2)
Cl 0.000 0.000 0.963 (multiplicity 2)
Cl 0.213 0.213 0.254 (multiplicity 8)

Stability, descending: version two, version one

Version one
Entry from Alexandria: an optimized crystal structure of Cs2Cu2Cl7 (PBE).

a b c (Å): 7.796 10.127 7.983
angles (deg): 90.00 90.00 90.00
Space group Cmmm (No. 65)
Asymmetric unit:
Cs 0.229 0.000 0.000 (multiplicity 4)
Cu 0.000 0.245 0.500 (multiplicity 4)
Cl 0.000 0.000 0.500 (multiplicity 2)
Cl 0.000 0.500 0.304 (multiplicity 4)
Cl 0.250 0.250 0.306 (multiplicity 8)

Version two
Entry from Alexandria: an optimized crystal structure of Cs2Cu2Cl7 (PBE).

a b c (Å): 9.536 14.827 4.738
angles (deg): 90.00 90.05 90.00
Space group C2/m (No. 12)
Asymmetric unit:
Cs 0.000 0.195 0.000 (multiplicity 4)
Cu 0.239 0.500 0.498 (multiplicity 4)
Cl 0.000 0.000 0.500 (multiplicity 2)
Cl 0.215 0.500 0.998 (multiplicity 4)
Cl 0.216 0.353 0.499 (multiplicity 8)

Stability, descending: version two, version one

Version one
Entry from Alexandria: an optimized crystal structure of CsCu4Cl8 (PBE).

a b c (Å): 6.5799 6.5799 9.5117
angles (deg): 90.00 90.00 120.00
Space group P-31m (No. 162)
Asymmetric unit:
Cs 0.0000 0.0000 0.0000 (multiplicity 1)
Cu 0.3333 0.6667 0.2448 (multiplicity 4)
Cl 0.0000 0.3419 0.6895 (multiplicity 6)
Cl 0.3333 0.6667 0.0000 (multiplicity 2)

Version two
Entry from Alexandria: an optimized crystal structure of CsCu4Cl8 (PBE).

a b c (Å): 7.1838 7.1838 25.0572
angles (deg): 90.00 90.00 120.00
Space group R-3m (No. 166, hexagonal axes)
Asymmetric unit:
Cs 0.0000 0.0000 0.0000 (multiplicity 3)
Cu 0.0000 0.0000 0.5000 (multiplicity 3)
Cu 0.0000 0.5000 0.5000 (multiplicity 9)
Cl 0.0000 0.0000 0.2185 (multiplicity 6)
Cl 0.0027 0.5014 0.2208 (multiplicity 18)

Stability, descending: version one, version two

Version one
Entry from Alexandria: an optimized crystal structure of CsCuICl2 (PBE).

a b c (Å): 5.183 5.183 5.384
angles (deg): 90.00 90.00 90.00
Space group P4/mmm (No. 123)
Asymmetric unit:
Cs 0.000 0.000 0.000 (multiplicity 1)
Cu 0.500 0.500 0.500 (multiplicity 1)
I 0.500 0.500 0.000 (multiplicity 1)
Cl 0.000 0.500 0.500 (multiplicity 2)

Version two
Entry from Alexandria: an optimized crystal structure of CsCuICl2 (PBE).

a b c (Å): 5.485 5.485 7.742
angles (deg): 90.00 90.00 90.00
Space group P4/mmm (No. 123)
Asymmetric unit:
Cs 0.000 0.000 0.000 (multiplicity 1)
Cu 0.500 0.500 0.000 (multiplicity 1)
I 0.000 0.000 0.500 (multiplicity 1)
Cl 0.000 0.500 0.500 (multiplicity 2)

Stability, descending: version one, version two